(1)
# InCu2Cl GGA-PBE optimized geometry
# Density of states at the Fermi level (states/eV per atom): 0.164
# Distance to the lowest polymorph of the same formula (meV/atom): 191
# V (Å³/f.u.): 75
# Total magnetic moment (μB/f.u.): 0.00
data_InCu2Cl
_chemical_formula_sum 'In1 Cu2 Cl1'
_symmetry_space_group_name_H-M 'P 1'
_symmetry_Int_Tables_number 1
_cell_length_a 5.3354
_cell_length_b 5.3354
_cell_length_c 5.3354
_cell_angle_alpha 146.31
_cell_angle_beta 114.62
_cell_angle_gamma 75.60
loop_
_symmetry_equiv_pos_as_xyz
'x,y,z'
loop_
_atom_site_label
_atom_site_type_symbol
_atom_site_fract_x
_atom_site_fract_y
_atom_site_fract_z
In1 In 0.7500 0.2500 0.5000
Cu1 Cu 0.0088 0.0088 0.0000
Cu2 Cu 0.4912 0.4912 0.0000
Cl1 Cl 0.2500 0.7500 0.5000

=====

(2)
# AcPr2Mn GGA-PBE optimized geometry
# Density of states at the Fermi level (states/eV per atom): 1.623
# Distance to the lowest polymorph of the same formula (meV/atom): 0
# V (Å³/f.u.): 131
# DFT formation energy (meV per atom): 194
# Total magnetic moment (μB/f.u.): 3.44
data_AcPr2Mn
_chemical_formula_sum 'Ac1 Pr2 Mn1'
_symmetry_space_group_name_H-M 'P 1'
_symmetry_Int_Tables_number 1
_cell_length_a 3.7519
_cell_length_b 3.7519
_cell_length_c 9.3299
_cell_angle_alpha 90.00
_cell_angle_beta 90.00
_cell_angle_gamma 90.00
loop_
_symmetry_equiv_pos_as_xyz
'x,y,z'
loop_
_atom_site_label
_atom_site_type_symbol
_atom_site_fract_x
_atom_site_fract_y
_atom_site_fract_z
Mn1 Mn 0.5000 0.5000 0.0000
Ac1 Ac 0.5000 0.5000 0.5000
Pr1 Pr 0.0000 0.0000 0.1921
Pr2 Pr 0.0000 0.0000 0.8079

=====

(3)
# MgBeAg3 GGA-PBE optimized geometry
# Density of states at the Fermi level (states/eV per atom): 0.456
# Distance to the lowest polymorph of the same formula (meV/atom): 885
# V (Å³/f.u.): 116
# DFT formation energy (meV per atom): 1064
# Total magnetic moment (μB/f.u.): 0.00
data_MgBeAg3
_chemical_formula_sum 'Mg1 Be1 Ag3'
_symmetry_space_group_name_H-M 'P 1'
_symmetry_Int_Tables_number 1
_cell_length_a 4.8752
_cell_length_b 4.8752
_cell_length_c 4.8752
_cell_angle_alpha 90.00
_cell_angle_beta 90.00
_cell_angle_gamma 90.00
loop_
_symmetry_equiv_pos_as_xyz
'x,y,z'
loop_
_atom_site_label
_atom_site_type_symbol
_atom_site_fract_x
_atom_site_fract_y
_atom_site_fract_z
Be1 Be 0.5000 0.5000 0.5000
Ag1 Ag 0.0000 0.0000 0.5000
Mg1 Mg 0.0000 0.0000 0.0000
Ag2 Ag 0.0000 0.5000 0.0000
Ag3 Ag 0.5000 0.0000 0.0000

=====

(4)
# Ba3Li3In2 GGA-PBE optimized geometry
# Density of states at the Fermi level (states/eV per atom): 0.893
# V (Å³/f.u.): 286
# DFT formation energy (meV per atom): -217
# Total magnetic moment (μB/f.u.): 0.00
data_Ba3Li3In2
_chemical_formula_sum 'Ba12 Li12 In8'
_symmetry_space_group_name_H-M 'P 1'
_symmetry_Int_Tables_number 1
_cell_length_a 6.9505
_cell_length_b 9.5394
_cell_length_c 17.2510
_cell_angle_alpha 90.00
_cell_angle_beta 90.00
_cell_angle_gamma 90.00
loop_
_symmetry_equiv_pos_as_xyz
'x,y,z'
loop_
_atom_site_label
_atom_site_type_symbol
_atom_site_fract_x
_atom_site_fract_y
_atom_site_fract_z
In1 In 0.8701 0.1115 0.4042
Li1 Li 0.6141 0.3236 0.0367
Li2 Li 0.3859 0.6764 0.5367
Ba1 Ba 0.3603 0.9571 0.1006
Li3 Li 0.1141 0.1764 0.9633
In2 In 0.3701 0.3885 0.9042
Li4 Li 0.5919 0.3470 0.7500
Ba2 Ba 0.8603 0.5429 0.8994
In3 In 0.1299 0.8885 0.5958
Ba3 Ba 0.1525 0.1766 0.7500
Li5 Li 0.4081 0.6530 0.2500
Li6 Li 0.9081 0.8470 0.7500
Li7 Li 0.1141 0.1764 0.5367
Ba4 Ba 0.8603 0.5429 0.6006
Li8 Li 0.3859 0.6764 0.9633
Ba5 Ba 0.6397 0.0429 0.8994
Ba6 Ba 0.6397 0.0429 0.6006
Ba7 Ba 0.6525 0.3234 0.2500
Ba8 Ba 0.3475 0.6766 0.7500
In4 In 0.6299 0.6115 0.0958
Ba9 Ba 0.8475 0.8234 0.2500
Ba10 Ba 0.1397 0.4571 0.1006
Ba11 Ba 0.3603 0.9571 0.3994
In5 In 0.3701 0.3885 0.5958
Li9 Li 0.8859 0.8236 0.0367
Ba12 Ba 0.1397 0.4571 0.3994
In6 In 0.8701 0.1115 0.0958
In7 In 0.6299 0.6115 0.4042
Li10 Li 0.8859 0.8236 0.4633
In8 In 0.1299 0.8885 0.9042
Li11 Li 0.0919 0.1530 0.2500
Li12 Li 0.6141 0.3236 0.4633